PBE TaAl2PdN, relaxed; calculated volume = 20.182 Å³/atom; spin magnetization = 0.01 μB per cell; D(E_F) = 3.466 states/eV/cell; mass density = 5847 kg/m3; E_form (uncorrected) = 6.94 eV/f.u.
1.0
4.510 0.000 0.000
0.000 4.510 0.000
0.000 0.000 4.960
Ta Al Pd N
1 2 1 1
direct
0.000 0.000 0.000 Ta
0.000 0.500 0.500 Al
0.500 0.000 0.500 Al
0.000 0.000 0.500 Pd
0.500 0.500 0.000 N